No. 1
## PdN2 (meta-GGA SCAN)

Data for a crystal of PdN2 relaxed with PBEsol.

Structure (POSCAR):
```
PdN2
1.0
-1.4052 2.4619 3.6591
1.4052 -2.4619 3.6591
1.4052 2.4619 -3.6591
Pd N
1 2
Direct
0.0000 0.0000 0.0000
0.3843 0.0000 0.3843
0.6157 0.0000 0.6157
```

Output
SG = Immm (71)
Total energy = -16.78 eV per atom
Total magnetization = 0.00 Bohr magnetons per cell
Crystal system = orthorhombic
Raw formation energy = 0.343 eV per atom

---

No. 2
## LiPbIO2 (meta-GGA SCAN)

Data for a crystal of LiPbIO2 relaxed with PBEsol.

Structure (POSCAR):
```
LiPbIO2
1.0
4.3142 0.0000 0.0000
0.0000 4.3142 0.0000
0.0000 0.0000 4.9378
Li Pb I O
1 1 1 2
Direct
0.0000 0.0000 0.0000
0.5000 0.5000 0.5000
0.0000 0.0000 0.5000
0.0000 0.5000 0.0000
0.5000 0.0000 0.0000
```

Output
SG = P4/mmm (123)
Total energy = -25.62 eV per atom
Total magnetization = 2.00 Bohr magnetons per cell
Crystal system = tetragonal
Excess energy over the best structure of this formula in the dataset = 0 meV per atom
Raw formation energy = -0.150 eV per atom

---

No. 3
## Co5Rh (meta-GGA SCAN)

Data for a crystal of Co5Rh relaxed with PBEsol.

Structure (POSCAR):
```
Co5Rh
1.0
4.5641 -1.2656 0.0000
4.5641 1.2656 0.0000
-1.5114 0.0000 5.7078
Co Rh
5 1
Direct
0.0000 0.0000 0.0000
0.0541 0.0541 0.5968
0.3389 0.3389 0.6556
0.3932 0.3932 0.2779
0.6689 0.6689 0.3340
0.7214 0.7214 0.9355
```

Output
SG = Cm (8)
Total energy = -20.00 eV per atom
Total magnetization = 9.66 Bohr magnetons per cell
Crystal system = monoclinic
Energy of formation from the pure elements = 52 meV per atom

---

No. 4
## CrTeP2S (meta-GGA SCAN)

Data for a crystal of CrTeP2S relaxed with PBEsol.

Structure (POSCAR):
```
CrTeP2S
1.0
4.6234 0.0000 0.0000
0.0000 4.6234 0.0000
0.0000 0.0000 4.1748
Cr Te P S
1 1 2 1
Direct
0.0000 0.0000 0.0000
0.5000 0.5000 0.5000
0.0000 0.5000 0.0000
0.5000 0.0000 0.0000
0.0000 0.0000 0.5000
```

Output
SG = P4/mmm (123)
Total energy = -16.81 eV per atom
Total magnetization = 0.00 Bohr magnetons per cell
Crystal system = tetragonal
Raw formation energy = 0.404 eV per atom

---

No. 5
## NiRh2Br (meta-GGA SCAN)

Data for a crystal of NiRh2Br relaxed with PBEsol.

Structure (POSCAR):
```
NiRh2Br
1.0
2.7989 0.0000 0.0000
0.0000 4.4276 0.0000
0.0000 0.0000 4.5754
Ni Rh Br
1 2 1
Direct
0.0000 0.0000 0.0000
0.0000 0.5000 0.5000
0.5000 0.5000 0.0000
0.5000 0.0000 0.5000
```

Output
SG = Pmmm (47)
Total energy = -25.08 eV per atom
Total magnetization = 0.00 Bohr magnetons per cell
Crystal system = orthorhombic
Excess energy over the best structure of this formula in the dataset = 72 meV per atom
Raw formation energy = 0.717 eV per atom

---

No. 6
## CaZr2Cl (meta-GGA SCAN)

Data for a crystal of CaZr2Cl relaxed with PBEsol.

Structure (POSCAR):
```
CaZr2Cl
1.0
3.9284 0.0000 0.0000
0.0000 3.9284 0.0000
0.0000 0.0000 6.6767
Ca Zr Cl
1 2 1
Direct
0.0000 0.0000 0.0000
0.0000 0.5000 0.5000
0.5000 0.0000 0.5000
0.5000 0.5000 0.0000
```

Output
SG = P4/mmm (123)
Total energy = -19.85 eV per atom
Total magnetization = 0.00 Bohr magnetons per cell
Crystal system = tetragonal
Excess energy over the best structure of this formula in the dataset = 0 meV per atom
Raw formation energy = -0.087 eV per atom

---

Question: Look up the total energy of the third one.
Answer: -20.00 eV per atom